Record 1
Tb6Pm3Dy2In: optimized geometry, PBE.

- size of the total moment (μB/atom) = 0.00
- density of states at the Fermi level (states/eV/f.u.) = 16.2
- calculated formation energy (eV/atom) = -0.041
- total energy (eV for the cell shown) = -54.5

Cell lengths 6.1538, 6.1538, 11.7052 Å; angles 95.05, 95.05, 120.05 degrees
Closest atoms and distances in Å follow each position.
Positions (direct):
Tb (0.0809, 0.4084, 0.2438)  1 In 3.46, 2 Dy 3.49, 6 Tb 3.49-3.59, 3 Pm 3.58-3.61
Tb (0.2464, 0.2464, 0.7550)  1 In 3.47, 6 Tb 3.49-3.59, 2 Dy 3.50, 3 Pm 3.58-3.60
Tb (0.4084, 0.0809, 0.2438)  1 In 3.46, 2 Dy 3.49, 6 Tb 3.49-3.59, 3 Pm 3.58-3.61
Tb (0.5916, 0.9191, 0.7562)  1 In 3.46, 2 Dy 3.49, 6 Tb 3.49-3.59, 3 Pm 3.58-3.61
Tb (0.7536, 0.7536, 0.2450)  1 In 3.47, 6 Tb 3.49-3.59, 2 Dy 3.50, 3 Pm 3.58-3.60
Tb (0.9191, 0.5916, 0.7562)  1 In 3.46, 2 Dy 3.49, 6 Tb 3.49-3.59, 3 Pm 3.58-3.61
Pm (0.1676, 0.8324, 0.5000)  6 Pm 3.54-3.57, 6 Tb 3.58-3.61
Pm (0.5000, 0.5000, 0.5000)  6 Pm 3.54-3.56, 6 Tb 3.58-3.60
Pm (0.8324, 0.1676, 0.5000)  6 Pm 3.54-3.57, 6 Tb 3.58-3.61
Dy (0.3337, 0.6663, 0.0000)  6 Tb 3.49-3.50, 3 Dy 3.55-3.56, 3 In 3.55-3.56
Dy (0.6663, 0.3337, 0.0000)  6 Tb 3.49-3.50, 3 Dy 3.55-3.56, 3 In 3.55-3.56
In (0.0000, 0.0000, 0.0000)  6 Tb 3.46-3.47, 6 Dy 3.55-3.56

Record 2
ZrCdHgAu: optimized geometry, PBE.

- size of the total moment (μB/atom) = 0.00
- density of states at the Fermi level (states/eV/f.u.) = 1.8
- calculated formation energy (eV/atom) = -0.248
- total energy (eV for the cell shown) = -14.0

Cell lengths 4.8704, 4.8704, 4.8704 Å; angles 60.00, 60.00, 60.00 degrees
Closest atoms and distances in Å follow each position.
Positions (direct):
Zr (0.0000, 0.0000, 0.0000)  4 Hg 2.98, 4 Au 2.98
Cd (0.5000, 0.5000, 0.5000)  4 Au 2.98, 4 Hg 2.98
Hg (0.2500, 0.2500, 0.2500)  4 Cd 2.98, 4 Zr 2.98
Au (0.7500, 0.7500, 0.7500)  4 Zr 2.98, 4 Cd 2.98